one) Computed, not measured: TbYMgHg after structural relaxation at the PBE level of DFT.

Output
The magnetic moment comes out at 0.001 μB per formula unit.

Cell lengths 3.789, 3.789, 7.402 Å; angles 90.00, 90.00, 90.00 degrees
Space group P4mm (No. 99)
One atom of each set of equivalent atoms:
Tb  0.000  0.000  0.000
Y  0.000  0.000  0.508
Mg  0.500  0.500  0.255
Hg  0.500  0.500  0.755

=====

two) Computed, not measured: TbYMgHg after structural relaxation at the PBE level of DFT.

Output
The magnetic moment comes out at 0.004 μB per formula unit.

Cell lengths 7.512, 7.512, 7.512 Å; angles 90.00, 90.00, 90.00 degrees
Space group F-43m (No. 216)
One atom of each set of equivalent atoms:
Tb  0.000  0.000  0.000
Y  0.000  0.000  0.500
Mg  0.250  0.250  0.750
Hg  0.250  0.250  0.250

=====

Here are the energies relative to the best structure, in meV/atom: one) 0; two) 17.

=====

one) Computed, not measured: MgTc2Hg after structural relaxation at the PBE level of DFT.

Output
The magnetic moment comes out at 0.000 μB per formula unit.

Cell lengths 6.411, 6.411, 6.411 Å; angles 90.00, 90.00, 90.00 degrees
Space group F-43m (No. 216)
One atom of each set of equivalent atoms:
Mg  0.000  0.000  0.000
Tc  0.000  0.000  0.500
Tc  0.250  0.250  0.750
Hg  0.250  0.250  0.250

=====

two) Computed, not measured: MgTc2Hg after structural relaxation at the PBE level of DFT.

Output
The magnetic moment comes out at 0.000 μB per formula unit.

Cell lengths 3.249, 4.441, 9.354 Å; angles 90.00, 90.00, 90.00 degrees
Space group Cmmm (No. 65)
One atom of each set of equivalent atoms:
Mg  0.000  0.000  0.000
Tc  0.000  0.500  0.242
Hg  0.000  0.000  0.500

=====

Here are the energies relative to the best structure, in meV/atom: one) 0; two) 188.

=====

one) Computed, not measured: MgTc2Hg after structural relaxation at the PBE level of DFT.

Output
The magnetic moment comes out at 0.000 μB per formula unit.

Cell lengths 9.009, 2.902, 5.188 Å; angles 90.00, 97.42, 90.00 degrees
Space group Cm (No. 8)
One atom of each set of equivalent atoms:
Mg  0.000  0.000  0.000
Tc  0.000  0.500  0.466
Tc  0.253  0.500  0.290
Hg  0.247  0.000  0.775

=====

two) Computed, not measured: MgTc2Hg after structural relaxation at the PBE level of DFT.

Output
The magnetic moment comes out at 0.000 μB per formula unit.

Cell lengths 2.816, 4.815, 5.082 Å; angles 90.00, 96.13, 90.00 degrees
Space group P2/m (No. 10)
One atom of each set of equivalent atoms:
Mg  0.000  0.000  0.000
Tc  0.326  0.500  0.774
Hg  0.500  0.000  0.500

=====

Here are the energies relative to the best structure, in meV/atom: one) 0; two) 83.

=====

one) Computed, not measured: MgTc2Hg after structural relaxation at the PBE level of DFT.

Output
The magnetic moment comes out at 0.000 μB per formula unit.

Cell lengths 3.479, 3.479, 5.654 Å; angles 90.00, 90.00, 90.00 degrees
Space group P4/mmm (No. 123)
One atom of each set of equivalent atoms:
Mg  0.000  0.000  0.000
Tc  0.500  0.500  0.209
Hg  0.000  0.000  0.500

=====

two) Computed, not measured: MgTc2Hg after structural relaxation at the PBE level of DFT.

Output
The magnetic moment comes out at 0.002 μB per formula unit.

Cell lengths 2.730, 2.730, 9.071 Å; angles 90.00, 90.00, 90.00 degrees
Space group P4/mmm (No. 123)
One atom of each set of equivalent atoms:
Mg  0.000  0.000  0.000
Tc  0.500  0.500  0.243
Hg  0.000  0.000  0.500

=====

Here are the energies relative to the best structure, in meV/atom: one) 0; two) 28.

=====

one) Computed, not measured: MgTc2Hg after structural relaxation at the PBE level of DFT.

Output
The magnetic moment comes out at 0.000 μB per formula unit.

Cell lengths 2.8624, 2.8624, 28.6008 Å; angles 90.00, 90.00, 120.00 degrees
Space group R-3m (No. 166, hexagonal axes)
One atom of each set of equivalent atoms:
Mg  0.0000  0.0000  0.0000
Tc  0.0000  0.0000  0.2519
Hg  0.0000  0.0000  0.5000

=====

two) Computed, not measured: MgTc2Hg after structural relaxation at the PBE level of DFT.

Output
The magnetic moment comes out at 0.000 μB per formula unit.

Cell lengths 2.855, 4.408, 5.469 Å; angles 90.00, 90.00, 90.00 degrees
Space group Pmmm (No. 47)
One atom of each set of equivalent atoms:
Mg  0.000  0.000  0.000
Tc  0.500  0.500  0.211
Hg  0.000  0.000  0.500

=====

three) Computed, not measured: MgTc2Hg after structural relaxation at the PBE level of DFT.

Output
The magnetic moment comes out at 0.000 μB per formula unit.

Cell lengths 3.045, 3.045, 7.451 Å; angles 90.00, 90.00, 90.00 degrees
Space group P4mm (No. 99)
One atom of each set of equivalent atoms:
Mg  0.000  0.000  0.000
Tc  0.000  0.000  0.434
Tc  0.500  0.500  0.249
Hg  0.500  0.500  0.717

=====

Here are the energies relative to the best structure, in meV/atom: one) 470; two) 368; three) 0.

=====

one) Computed, not measured: MgTcHg after structural relaxation at the PBE level of DFT.

Output
The magnetic moment comes out at 2.252 μB per formula unit.

Cell lengths 6.450, 6.450, 6.450 Å; angles 90.00, 90.00, 90.00 degrees
Space group F-43m (No. 216)
One atom of each set of equivalent atoms:
Mg  0.000  0.000  0.000
Tc  0.250  0.250  0.250
Hg  0.000  0.000  0.500

=====

two) Computed, not measured: MgTcHg after structural relaxation at the PBE level of DFT.

Output
The magnetic moment comes out at 0.000 μB per formula unit.

Cell lengths 2.901, 3.843, 9.578 Å; angles 90.00, 90.00, 90.00 degrees
Space group Imm2 (No. 44)
One atom of each set of equivalent atoms:
Mg  0.000  0.000  0.000
Tc  0.000  0.000  0.654
Hg  0.000  0.000  0.328

=====

Here are the energies relative to the best structure, in meV/atom: one) 357; two) 0.

=====

one) Computed, not measured: MgTcHg after structural relaxation at the PBE level of DFT.

Output
The magnetic moment comes out at 0.471 μB per formula unit.

Cell lengths 4.081, 4.091, 13.001 Å; angles 90.00, 90.00, 90.00 degrees
Space group Fmm2 (No. 42)
One atom of each set of equivalent atoms:
Mg  0.000  0.000  0.000
Tc  0.000  0.000  0.347
Hg  0.000  0.000  0.680

=====

two) Computed, not measured: MgTcHg after structural relaxation at the PBE level of DFT.

Output
The magnetic moment comes out at 0.477 μB per formula unit.

Cell lengths 2.9742, 2.9742, 7.1150 Å; angles 90.00, 90.00, 120.00 degrees
Space group P3m1 (No. 156)
One atom of each set of equivalent atoms:
Mg  0.0000  0.0000  0.0000
Tc  0.6667  0.3333  0.3107
Hg  0.3333  0.6667  0.6490

=====

Here are the energies relative to the best structure, in meV/atom: one) 0; two) 13.

=====

one) Computed, not measured: Mg2HgTe2 after structural relaxation at the PBE level of DFT.

Output
The magnetic moment comes out at 0.000 μB per formula unit.

Cell lengths 4.792, 4.792, 13.224 Å; angles 90.00, 90.00, 90.00 degrees
Space group I4/mmm (No. 139)
One atom of each set of equivalent atoms:
Mg  0.000  0.000  0.110
Hg  0.000  0.000  0.500
Te  0.000  0.500  0.250

=====

two) Computed, not measured: Mg2HgTe2 after structural relaxation at the PBE level of DFT.

Output
The magnetic moment comes out at 0.000 μB per formula unit.

Cell lengths 8.397, 8.397, 3.853 Å; angles 90.00, 90.00, 90.00 degrees
Space group P4/mbm (No. 127)
One atom of each set of equivalent atoms:
Mg  0.144  0.356  0.000
Hg  0.000  0.000  0.500
Te  0.158  0.658  0.500

=====

Here are the energies relative to the best structure, in meV/atom: one) 143; two) 0.

=====

one) Computed, not measured: Mg2HgTe2 after structural relaxation at the PBE level of DFT.

Output
The magnetic moment comes out at 0.000 μB per formula unit.

Cell lengths 8.288, 8.288, 3.824 Å; angles 90.00, 90.00, 90.00 degrees
Space group P4/mbm (No. 127)
One atom of each set of equivalent atoms:
Mg  0.142  0.358  0.000
Hg  0.000  0.000  0.000
Te  0.157  0.657  0.500

=====

two) Computed, not measured: Mg2HgTe2 after structural relaxation at the PBE level of DFT.

Output
The magnetic moment comes out at 0.000 μB per formula unit.

Cell lengths 4.731, 4.731, 16.001 Å; angles 90.00, 90.00, 90.00 degrees
Space group I4/mmm (No. 139)
One atom of each set of equivalent atoms:
Mg  0.000  0.500  0.250
Hg  0.000  0.000  0.000
Te  0.000  0.000  0.350

=====

Here are the energies relative to the best structure, in meV/atom: one) 190; two) 0.

=====

one) Computed, not measured: Mg2HgTe after structural relaxation at the PBE level of DFT.

Output
The magnetic moment comes out at 0.000 μB per formula unit.

Cell lengths 7.470, 7.470, 7.470 Å; angles 90.00, 90.00, 90.00 degrees
Space group F-43m (No. 216)
One atom of each set of equivalent atoms:
Mg  0.000  0.000  0.000
Mg  0.250  0.250  0.250
Hg  0.000  0.000  0.500
Te  0.250  0.250  0.750

=====

two) Computed, not measured: Mg2HgTe after structural relaxation at the PBE level of DFT.

Output
The magnetic moment comes out at 0.000 μB per formula unit.

Cell lengths 3.454, 3.454, 8.732 Å; angles 90.00, 90.00, 90.00 degrees
Space group P4mm (No. 99)
One atom of each set of equivalent atoms:
Mg  0.000  0.000  0.000
Mg  0.500  0.500  0.248
Hg  0.500  0.500  0.792
Te  0.000  0.000  0.457

=====

three) Computed, not measured: Mg2HgTe after structural relaxation at the PBE level of DFT.

Output
The magnetic moment comes out at 0.000 μB per formula unit.

Cell lengths 4.331, 5.479, 8.406 Å; angles 90.00, 90.00, 90.00 degrees
Space group Immm (No. 71)
One atom of each set of equivalent atoms:
Mg  0.000  0.000  0.244
Hg  0.000  0.500  0.500
Te  0.000  0.500  0.000

=====

four) Computed, not measured: Mg2HgTe after structural relaxation at the PBE level of DFT.

Output
The magnetic moment comes out at 0.000 μB per formula unit.

Cell lengths 13.237, 4.058, 3.968 Å; angles 90.00, 107.43, 90.00 degrees
Space group Cm (No. 8)
One atom of each set of equivalent atoms:
Mg  0.000  0.000  0.000
Mg  0.242  0.000  0.745
Hg  0.066  0.500  0.566
Te  0.316  0.500  0.320

=====

Here are the energies relative to the best structure, in meV/atom: one) 336; two) 267; three) 126; four) 0.

=====

one) Computed, not measured: Mg2HgTe after structural relaxation at the PBE level of DFT.

Output
The magnetic moment comes out at 0.000 μB per formula unit.

Cell lengths 7.721, 7.721, 7.318 Å; angles 90.00, 90.00, 90.00 degrees
Space group I-42d (No. 122)
One atom of each set of equivalent atoms:
Mg  0.246  0.250  0.125
Hg  0.000  0.000  0.500
Te  0.000  0.000  0.000

=====

two) Computed, not measured: Mg2HgTe after structural relaxation at the PBE level of DFT.

Output
The magnetic moment comes out at 0.000 μB per formula unit.

Cell lengths 4.161, 6.016, 4.162 Å; angles 90.00, 90.02, 90.00 degrees
Space group Pm (No. 6)
One atom of each set of equivalent atoms:
Mg  0.000  0.000  0.000
Mg  0.448  0.500  0.498
Hg  0.949  0.500  0.998
Te  0.497  0.000  0.500

=====

three) Computed, not measured: Mg2HgTe after structural relaxation at the PBE level of DFT.

Output
The magnetic moment comes out at 0.000 μB per formula unit.

Cell lengths 3.841, 3.831, 6.668 Å; angles 90.00, 99.39, 90.00 degrees
Space group P2/m (No. 10)
One atom of each set of equivalent atoms:
Mg  0.005  0.000  0.255
Hg  0.500  0.500  0.500
Te  0.500  0.500  0.000

=====

four) Computed, not measured: Mg2HgTe after structural relaxation at the PBE level of DFT.

Output
The magnetic moment comes out at 0.000 μB per formula unit.

Cell lengths 7.380, 7.380, 7.380 Å; angles 90.00, 90.00, 90.00 degrees
Space group Fm-3m (No. 225)
One atom of each set of equivalent atoms:
Mg  0.250  0.250  0.250
Hg  0.000  0.000  0.000
Te  0.000  0.000  0.500

=====

Here are the energies relative to the best structure, in meV/atom: one) 34; two) 0; three) 18; four) 109.

=====

one) Computed, not measured: Mg2HgTe after structural relaxation at the PBE level of DFT.

Output
The magnetic moment comes out at 0.000 μB per formula unit.

Cell lengths 6.929, 7.074, 3.958 Å; angles 90.00, 91.14, 90.00 degrees
Space group C2/m (No. 12)
One atom of each set of equivalent atoms:
Mg  0.250  0.250  0.000
Hg  0.000  0.000  0.500
Te  0.000  0.500  0.500

=====

two) Computed, not measured: Mg2HgTe after structural relaxation at the PBE level of DFT.

Output
The magnetic moment comes out at 0.000 μB per formula unit.

Cell lengths 7.481, 4.307, 6.890 Å; angles 90.00, 110.92, 90.00 degrees
Space group C2/m (No. 12)
One atom of each set of equivalent atoms:
Mg  0.246  0.000  0.234
Hg  0.000  0.500  0.000
Te  0.000  0.000  0.500

=====

Here are the energies relative to the best structure, in meV/atom: one) 99; two) 0.